# 1
# BaBeFe2, relaxed, DFT PBE-GGA
# Space-group type ... P2/m, No. 10
# Volume ... 69.4 Å³ per cell
# Energy of formation from the pure elements ... 1145 meV per atom
data_BaBeFe2
_symmetry_space_group_name_H-M 'P 1'
_symmetry_Int_Tables_number 1
_cell_length_a 4.761
_cell_length_b 3.194
_cell_length_c 4.832
_cell_angle_alpha 90.00
_cell_angle_beta 109.29
_cell_angle_gamma 90.00
loop_
_symmetry_equiv_pos_as_xyz
'x,y,z'
loop_
_atom_site_label
_atom_site_type_symbol
_atom_site_fract_x
_atom_site_fract_y
_atom_site_fract_z
Ba1 Ba 0.000 0.000 0.000
Be1 Be 0.000 0.500 0.500
Fe1 Fe 0.500 0.000 0.500
Fe2 Fe 0.500 0.500 0.000

# 2
# BaBeFe2, relaxed, DFT PBE-GGA
# Space-group type ... C2/m, No. 12
# Volume ... 141.9 Å³ per cell
# Energy of formation from the pure elements ... 1185 meV per atom
data_BaBeFe2
_symmetry_space_group_name_H-M 'P 1'
_symmetry_Int_Tables_number 1
_cell_length_a 5.661
_cell_length_b 9.394
_cell_length_c 3.141
_cell_angle_alpha 90.00
_cell_angle_beta 121.86
_cell_angle_gamma 90.00
loop_
_symmetry_equiv_pos_as_xyz
'x,y,z'
loop_
_atom_site_label
_atom_site_type_symbol
_atom_site_fract_x
_atom_site_fract_y
_atom_site_fract_z
Ba1 Ba 0.000 0.000 0.000
Ba2 Ba 0.500 0.500 0.000
Be1 Be 0.000 0.500 0.000
Be2 Be 0.500 0.000 0.000
Fe1 Fe 0.250 0.250 0.500
Fe2 Fe 0.250 0.750 0.500
Fe3 Fe 0.750 0.250 0.500
Fe4 Fe 0.750 0.750 0.500

# 3
# BaBeFe2, relaxed, DFT PBE-GGA
# Space-group type ... I4/mmm, No. 139
# Volume ... 146.0 Å³ per cell
# Energy of formation from the pure elements ... 1176 meV per atom
data_BaBeFe2
_symmetry_space_group_name_H-M 'P 1'
_symmetry_Int_Tables_number 1
_cell_length_a 4.140
_cell_length_b 4.140
_cell_length_c 8.520
_cell_angle_alpha 90.00
_cell_angle_beta 90.00
_cell_angle_gamma 90.00
loop_
_symmetry_equiv_pos_as_xyz
'x,y,z'
loop_
_atom_site_label
_atom_site_type_symbol
_atom_site_fract_x
_atom_site_fract_y
_atom_site_fract_z
Ba1 Ba 0.000 0.000 0.000
Ba2 Ba 0.500 0.500 0.500
Be1 Be 0.000 0.000 0.500
Be2 Be 0.500 0.500 0.000
Fe1 Fe 0.000 0.500 0.250
Fe2 Fe 0.000 0.500 0.750
Fe3 Fe 0.500 0.000 0.250
Fe4 Fe 0.500 0.000 0.750

# 4
# BaBeFe2, relaxed, DFT PBE-GGA
# Space-group type ... P4mm, No. 99
# Volume ... 71.5 Å³ per cell
# Energy of formation from the pure elements ... 531 meV per atom
data_BaBeFe2
_symmetry_space_group_name_H-M 'P 1'
_symmetry_Int_Tables_number 1
_cell_length_a 3.129
_cell_length_b 3.129
_cell_length_c 7.304
_cell_angle_alpha 90.00
_cell_angle_beta 90.00
_cell_angle_gamma 90.00
loop_
_symmetry_equiv_pos_as_xyz
'x,y,z'
loop_
_atom_site_label
_atom_site_type_symbol
_atom_site_fract_x
_atom_site_fract_y
_atom_site_fract_z
Ba1 Ba 0.000 0.000 0.000
Be1 Be 0.500 0.500 0.346
Fe1 Fe 0.000 0.000 0.486
Fe2 Fe 0.500 0.500 0.644

# 5
# BaBe2Fe, relaxed, DFT PBE-GGA
# Space-group type ... Fm-3m, No. 225
# Volume ... 285.6 Å³ per cell
# Energy above the most stable polymorph in this dataset ... 961.2 meV per atom
# Energy of formation from the pure elements ... 1260 meV per atom
data_BaBe2Fe
_symmetry_space_group_name_H-M 'P 1'
_symmetry_Int_Tables_number 1
_cell_length_a 6.586
_cell_length_b 6.586
_cell_length_c 6.586
_cell_angle_alpha 90.00
_cell_angle_beta 90.00
_cell_angle_gamma 90.00
loop_
_symmetry_equiv_pos_as_xyz
'x,y,z'
loop_
_atom_site_label
_atom_site_type_symbol
_atom_site_fract_x
_atom_site_fract_y
_atom_site_fract_z
Ba1 Ba 0.000 0.000 0.000
Ba2 Ba 0.000 0.500 0.500
Ba3 Ba 0.500 0.000 0.500
Ba4 Ba 0.500 0.500 0.000
Be1 Be 0.250 0.250 0.250
Be2 Be 0.250 0.250 0.750
Be3 Be 0.250 0.750 0.250
Be4 Be 0.250 0.750 0.750
Be5 Be 0.750 0.250 0.250
Be6 Be 0.750 0.250 0.750
Be7 Be 0.750 0.750 0.250
Be8 Be 0.750 0.750 0.750
Fe1 Fe 0.000 0.000 0.500
Fe2 Fe 0.000 0.500 0.000
Fe3 Fe 0.500 0.000 0.000
Fe4 Fe 0.500 0.500 0.500

# 6
# BaBe3Fe, relaxed, DFT PBE-GGA
# Space-group type ... Pm-3m, No. 221
# Volume ... 120.2 Å³ per cell
# Energy above the most stable polymorph in this dataset ... 2427.0 meV per atom
# Energy of formation from the pure elements ... 2920 meV per atom
data_BaBe3Fe
_symmetry_space_group_name_H-M 'P 1'
_symmetry_Int_Tables_number 1
_cell_length_a 4.936
_cell_length_b 4.936
_cell_length_c 4.936
_cell_angle_alpha 90.00
_cell_angle_beta 90.00
_cell_angle_gamma 90.00
loop_
_symmetry_equiv_pos_as_xyz
'x,y,z'
loop_
_atom_site_label
_atom_site_type_symbol
_atom_site_fract_x
_atom_site_fract_y
_atom_site_fract_z
Ba1 Ba 0.000 0.000 0.000
Be1 Be 0.000 0.000 0.500
Be2 Be 0.000 0.500 0.000
Be3 Be 0.500 0.000 0.000
Fe1 Fe 0.500 0.500 0.500

Fermi-level density of states / states/eV per atom: 0.776, 0.991, 0.706, 1.012, 1.107, 3.868